[1]
Compound: HfAlI2
Source: Alexandria
Functional: PBE-GGA
Structure: optimized geometry

Results
**Energy relative to the lowest polymorph listed for this composition**: 0.200 eV/atom
**Energy relative to the elements, uncorrected**: 0.31 eV/atom
**Space group**: Fm-3m (225)
**Magnetic moment**: 0.0 μB per formula unit
**Fermi-level density of states**: 2.75 states/eV/f.u.

Cell lengths 7.278, 7.278, 7.278 Å; angles 90.00, 90.00, 90.00 degrees
Element x y z (fractional)
1 Hf 0.000 0.000 0.000
2 Hf 0.000 0.500 0.500
3 Hf 0.500 0.000 0.500
4 Hf 0.500 0.500 0.000
5 Al 0.000 0.000 0.500
6 Al 0.000 0.500 0.000
7 Al 0.500 0.000 0.000
8 Al 0.500 0.500 0.500
9 I 0.250 0.250 0.250
10 I 0.250 0.250 0.750
11 I 0.250 0.750 0.250
12 I 0.250 0.750 0.750
13 I 0.750 0.250 0.250
14 I 0.750 0.250 0.750
15 I 0.750 0.750 0.250
16 I 0.750 0.750 0.750

---

[2]
Compound: HfAlI2
Source: Alexandria
Functional: PBE-GGA
Structure: optimized geometry

Results
**Energy relative to the lowest polymorph listed for this composition**: 0.000 eV/atom
**Energy relative to the elements, uncorrected**: 0.11 eV/atom
**Space group**: I-42d (122)
**Magnetic moment**: 0.0 μB per formula unit
**Fermi-level density of states**: 3.29 states/eV/f.u.

Cell lengths 10.318, 10.318, 5.573 Å; angles 90.00, 90.00, 90.00 degrees
Element x y z (fractional)
1 Hf 0.000 0.000 0.000
2 Hf 0.000 0.500 0.250
3 Hf 0.500 0.000 0.750
4 Hf 0.500 0.500 0.500
5 Al 0.000 0.000 0.500
6 Al 0.000 0.500 0.750
7 Al 0.500 0.000 0.250
8 Al 0.500 0.500 0.000
9 I 0.099 0.250 0.125
10 I 0.250 0.599 0.375
11 I 0.250 0.901 0.875
12 I 0.401 0.250 0.625
13 I 0.599 0.750 0.625
14 I 0.750 0.099 0.875
15 I 0.750 0.401 0.375
16 I 0.901 0.750 0.125

---

[3]
Compound: HfAl2I
Source: Alexandria
Functional: PBE-GGA
Structure: optimized geometry

Results
**Energy relative to the lowest polymorph listed for this composition**: 0.000 eV/atom
**Energy relative to the elements, uncorrected**: 0.51 eV/atom
**Space group**: I-42d (122)
**Magnetic moment**: 0.0 μB per formula unit
**Fermi-level density of states**: 3.54 states/eV/f.u.

Cell lengths 8.071, 8.071, 5.827 Å; angles 90.00, 90.00, 90.00 degrees
Element x y z (fractional)
1 Hf 0.000 0.000 0.000
2 Hf 0.000 0.500 0.250
3 Hf 0.500 0.000 0.750
4 Hf 0.500 0.500 0.500
5 Al 0.231 0.250 0.125
6 Al 0.250 0.731 0.375
7 Al 0.250 0.769 0.875
8 Al 0.269 0.250 0.625
9 Al 0.731 0.750 0.625
10 Al 0.750 0.231 0.875
11 Al 0.750 0.269 0.375
12 Al 0.769 0.750 0.125
13 I 0.000 0.000 0.500
14 I 0.000 0.500 0.750
15 I 0.500 0.000 0.250
16 I 0.500 0.500 0.000

---

[4]
Compound: HfAl3I
Source: Alexandria
Functional: PBE-GGA
Structure: optimized geometry

Results
**Energy relative to the lowest polymorph listed for this composition**: 0.472 eV/atom
**Energy relative to the elements, uncorrected**: 1.40 eV/atom
**Space group**: Pm-3m (221)
**Magnetic moment**: 0.0 μB per formula unit
**Fermi-level density of states**: 2.52 states/eV/f.u.

Cell lengths 5.202, 5.202, 5.202 Å; angles 90.00, 90.00, 90.00 degrees
Element x y z (fractional)
1 Hf 0.000 0.000 0.000
2 Al 0.000 0.500 0.500
3 Al 0.500 0.000 0.500
4 Al 0.500 0.500 0.000
5 I 0.500 0.500 0.500

---

[5]
Compound: HfAl2I
Source: Alexandria
Functional: PBE-GGA
Structure: optimized geometry

Results
**Energy relative to the lowest polymorph listed for this composition**: 0.133 eV/atom
**Energy relative to the elements, uncorrected**: 0.65 eV/atom
**Space group**: Fm-3m (225)
**Magnetic moment**: 0.0 μB per formula unit
**Fermi-level density of states**: 3.66 states/eV/f.u.

Cell lengths 7.153, 7.153, 7.153 Å; angles 90.00, 90.00, 90.00 degrees
Element x y z (fractional)
1 Hf 0.000 0.000 0.000
2 Hf 0.000 0.500 0.500
3 Hf 0.500 0.000 0.500
4 Hf 0.500 0.500 0.000
5 Al 0.250 0.250 0.250
6 Al 0.250 0.250 0.750
7 Al 0.250 0.750 0.250
8 Al 0.250 0.750 0.750
9 Al 0.750 0.250 0.250
10 Al 0.750 0.250 0.750
11 Al 0.750 0.750 0.250
12 Al 0.750 0.750 0.750
13 I 0.000 0.000 0.500
14 I 0.000 0.500 0.000
15 I 0.500 0.000 0.000
16 I 0.500 0.500 0.500

---

[6]
Compound: Hf3AlI
Source: Alexandria
Functional: PBE-GGA
Structure: optimized geometry

Results
**Energy relative to the lowest polymorph listed for this composition**: 0.000 eV/atom
**Energy relative to the elements, uncorrected**: 0.90 eV/atom
**Space group**: Pm-3m (221)
**Magnetic moment**: 0.0 μB per formula unit
**Fermi-level density of states**: 7.01 states/eV/f.u.

Cell lengths 5.064, 5.064, 5.064 Å; angles 90.00, 90.00, 90.00 degrees
Element x y z (fractional)
1 Hf 0.000 0.000 0.500
2 Hf 0.000 0.500 0.000
3 Hf 0.500 0.000 0.000
4 Al 0.000 0.000 0.000
5 I 0.500 0.500 0.500

---

[7]
Compound: HfAl3I
Source: Alexandria
Functional: PBE-GGA
Structure: optimized geometry

Results
**Energy relative to the lowest polymorph listed for this composition**: 0.000 eV/atom
**Energy relative to the elements, uncorrected**: 0.93 eV/atom
**Space group**: Pm-3m (221)
**Magnetic moment**: 3.3 μB per formula unit
**Fermi-level density of states**: 7.15 states/eV/f.u.

Cell lengths 5.514, 5.514, 5.514 Å; angles 90.00, 90.00, 90.00 degrees
Element x y z (fractional)
1 Hf 0.000 0.000 0.000
2 Al 0.000 0.000 0.500
3 Al 0.000 0.500 0.000
4 Al 0.500 0.000 0.000
5 I 0.500 0.500 0.500

---

[8]
Compound: HfAlI2N
Source: Alexandria
Functional: PBE-GGA
Structure: optimized geometry

Results
**Energy relative to the lowest polymorph listed for this composition**: 0.454 eV/atom
**Energy relative to the elements, uncorrected**: 0.34 eV/atom
**Space group**: P4/mmm (123)
**Magnetic moment**: 0.0 μB per formula unit
**Fermi-level density of states**: 4.34 states/eV/f.u.

Cell lengths 5.734, 5.734, 3.486 Å; angles 90.00, 90.00, 90.00 degrees
Element x y z (fractional)
1 Hf 0.000 0.000 0.000
2 Al 0.500 0.500 0.500
3 I 0.000 0.500 0.500
4 I 0.500 0.000 0.500
5 N 0.500 0.500 0.000

---

[9]
Compound: HfAlI2N
Source: Alexandria
Functional: PBE-GGA
Structure: optimized geometry

Results
**Energy relative to the lowest polymorph listed for this composition**: 0.000 eV/atom
**Energy relative to the elements, uncorrected**: -0.12 eV/atom
**Space group**: P4/mmm (123)
**Magnetic moment**: 0.0 μB per formula unit
**Fermi-level density of states**: 1.43 states/eV/f.u.

Cell lengths 5.954, 5.954, 4.006 Å; angles 90.00, 90.00, 90.00 degrees
Element x y z (fractional)
1 Hf 0.000 0.000 0.000
2 Al 0.500 0.500 0.500
3 I 0.000 0.500 0.000
4 I 0.500 0.000 0.000
5 N 0.000 0.000 0.500

---

[10]
Compound: Hf2AlIN
Source: Alexandria
Functional: PBE-GGA
Structure: optimized geometry

Results
**Energy relative to the elements, uncorrected**: 0.62 eV/atom
**Space group**: P4/mmm (123)
**Magnetic moment**: 0.0 μB per formula unit
**Fermi-level density of states**: 3.41 states/eV/f.u.

Cell lengths 5.305, 5.305, 3.572 Å; angles 90.00, 90.00, 90.00 degrees
Element x y z (fractional)
1 Hf 0.000 0.500 0.000
2 Hf 0.500 0.000 0.000
3 Al 0.000 0.000 0.000
4 I 0.500 0.500 0.500
5 N 0.000 0.000 0.500